1.
Density functional theory data (GGA-PBE) for a relaxed SmTh2Hg crystal.

a = 12.3988 Å, b = 12.3988 Å, c = 12.3988 Å
α = 15.86°, β = 15.86°, γ = 15.86°
Fractional coordinates of all 4 atoms:
1 Sm 0.0000 0.0000 0.0000
2 Th 0.0927 0.0927 0.0927
3 Th 0.9073 0.9073 0.9073
4 Hg 0.5000 0.5000 0.5000

Distance to the lowest polymorph of the same formula = 229.7 meV/atom
ΔE_f = 154 meV/atom
N(E_F) = 1.1820 states/eV per atom

2.
Density functional theory data (GGA-PBE) for a relaxed Sm5ThHg4 crystal.

a = 3.7330 Å, b = 3.7330 Å, c = 20.2827 Å
α = 90.00°, β = 90.00°, γ = 90.00°
Fractional coordinates of all 10 atoms:
1 Sm 0.0000 0.0000 0.0000
2 Sm 0.0000 0.0000 0.1904
3 Sm 0.0000 0.0000 0.3838
4 Sm 0.0000 0.0000 0.6162
5 Sm 0.0000 0.0000 0.8096
6 Th 0.5000 0.5000 0.5000
7 Hg 0.5000 0.5000 0.0951
8 Hg 0.5000 0.5000 0.2878
9 Hg 0.5000 0.5000 0.7122
10 Hg 0.5000 0.5000 0.9049

ΔE_f = -376 meV/atom
N(E_F) = 1.1328 states/eV per atom

3.
Density functional theory data (GGA-PBE) for a relaxed Sm2ThHg8 crystal.

a = 8.7246 Å, b = 8.7246 Å, c = 8.7246 Å
α = 145.53°, β = 129.47°, γ = 62.61°
Fractional coordinates of all 11 atoms:
1 Sm 0.1903 0.1903 0.0000
2 Sm 0.8097 0.8097 0.0000
3 Th 0.5000 0.5000 0.0000
4 Hg 0.0628 0.3500 0.7128
5 Hg 0.2105 0.0000 0.2105
6 Hg 0.3416 0.8416 0.5000
7 Hg 0.3629 0.6500 0.7128
8 Hg 0.6371 0.3500 0.2872
9 Hg 0.6584 0.1584 0.5000
10 Hg 0.7895 0.0000 0.7895
11 Hg 0.9372 0.6500 0.2872

ΔE_f = -274 meV/atom
N(E_F) = 0.4825 states/eV per atom

4.
Density functional theory data (GGA-PBE) for a relaxed Sm3ThHg6 crystal.

a = 9.4075 Å, b = 5.2433 Å, c = 11.3532 Å
α = 90.00°, β = 107.43°, γ = 90.00°
Fractional coordinates of all 20 atoms:
1 Sm 0.0099 0.2500 0.3873
2 Sm 0.1500 0.7500 0.2003
3 Sm 0.2706 0.2500 0.9953
4 Sm 0.7294 0.7500 0.0047
5 Sm 0.8500 0.2500 0.7997
6 Sm 0.9901 0.7500 0.6127
7 Th 0.4326 0.2500 0.6164
8 Th 0.5674 0.7500 0.3836
9 Hg 0.0353 0.7500 0.9070
10 Hg 0.1460 0.2500 0.7084
11 Hg 0.2551 0.7500 0.4874
12 Hg 0.3395 0.2500 0.3127
13 Hg 0.3577 0.7500 0.7973
14 Hg 0.4386 0.7500 0.0930
15 Hg 0.5614 0.2500 0.9070
16 Hg 0.6423 0.2500 0.2027
17 Hg 0.6605 0.7500 0.6873
18 Hg 0.7449 0.2500 0.5126
19 Hg 0.8540 0.7500 0.2916
20 Hg 0.9647 0.2500 0.0930

ΔE_f = -371 meV/atom
N(E_F) = 0.8301 states/eV per atom

5.
Density functional theory data (GGA-PBE) for a relaxed Sm4ThHg3 crystal.

a = 3.6353 Å, b = 5.5500 Å, c = 11.1990 Å
α = 90.00°, β = 90.00°, γ = 90.00°
Fractional coordinates of all 8 atoms:
1 Sm 0.0000 0.0000 0.0000
2 Sm 0.0000 0.0000 0.5000
3 Sm 0.0000 0.5000 0.2376
4 Sm 0.0000 0.5000 0.7624
5 Th 0.5000 0.5000 0.5000
6 Hg 0.5000 0.0000 0.2536
7 Hg 0.5000 0.0000 0.7464
8 Hg 0.5000 0.5000 0.0000

ΔE_f = -289 meV/atom
N(E_F) = 1.3443 states/eV per atom

6.
Density functional theory data (GGA-PBE) for a relaxed SmThTlHg crystal.

a = 5.4459 Å, b = 5.4459 Å, c = 5.4459 Å
α = 60.00°, β = 60.00°, γ = 60.00°
Fractional coordinates of all 4 atoms:
1 Sm 0.0000 0.0000 0.0000
2 Th 0.5000 0.5000 0.5000
3 Tl 0.2500 0.2500 0.2500
4 Hg 0.7500 0.7500 0.7500

ΔE_f = -266 meV/atom
N(E_F) = 1.4548 states/eV per atom

7.
Density functional theory data (GGA-PBE) for a relaxed SmTiHg crystal.

a = 4.4743 Å, b = 4.4743 Å, c = 7.3894 Å
α = 90.00°, β = 90.00°, γ = 90.00°
Fractional coordinates of all 6 atoms:
1 Sm 0.2500 0.2500 0.1595
2 Sm 0.7500 0.7500 0.8405
3 Ti 0.2500 0.7500 0.5000
4 Ti 0.7500 0.2500 0.5000
5 Hg 0.2500 0.2500 0.7384
6 Hg 0.7500 0.7500 0.2616

ΔE_f = -105 meV/atom
N(E_F) = 1.3880 states/eV per atom

8.
Density functional theory data (GGA-PBE) for a relaxed Sm6TlHg5 crystal.

a = 6.7772 Å, b = 6.7772 Å, c = 9.3296 Å
α = 96.86°, β = 96.86°, γ = 119.92°
Fractional coordinates of all 12 atoms:
1 Sm 0.0662 0.4097 0.7323
2 Sm 0.2181 0.2181 0.2261
3 Sm 0.4097 0.0662 0.7323
4 Sm 0.5903 0.9338 0.2677
5 Sm 0.7819 0.7819 0.7739
6 Sm 0.9338 0.5903 0.2677
7 Tl 0.5000 0.5000 0.0000
8 Hg 0.0000 0.0000 0.5000
9 Hg 0.1935 0.8065 0.0000
10 Hg 0.3650 0.6350 0.5000
11 Hg 0.6350 0.3650 0.5000
12 Hg 0.8065 0.1935 0.0000

Distance to the lowest polymorph of the same formula = 137.5 meV/atom
ΔE_f = -317 meV/atom
N(E_F) = 1.2081 states/eV per atom

9.
Density functional theory data (GGA-PBE) for a relaxed SmTlHg crystal.

a = 4.9851 Å, b = 4.9851 Å, c = 4.9851 Å
α = 60.00°, β = 60.00°, γ = 60.00°
Fractional coordinates of all 3 atoms:
1 Sm 0.0000 0.0000 0.0000
2 Tl 0.5000 0.5000 0.5000
3 Hg 0.7500 0.7500 0.7500

ΔE_f = -321 meV/atom
N(E_F) = 0.2495 states/eV per atom

10.
Density functional theory data (GGA-PBE) for a relaxed Sm2TlHg crystal.

a = 9.9044 Å, b = 9.9044 Å, c = 9.9044 Å
α = 22.19°, β = 22.19°, γ = 22.19°
Fractional coordinates of all 4 atoms:
1 Sm 0.0000 0.0000 0.0000
2 Sm 0.1732 0.1732 0.1732
3 Tl 0.4209 0.4209 0.4209
4 Hg 0.5873 0.5873 0.5873

ΔE_f = -265 meV/atom
N(E_F) = 0.7973 states/eV per atom

11.
Density functional theory data (GGA-PBE) for a relaxed SmTlHg3 crystal.

a = 6.0665 Å, b = 6.0665 Å, c = 6.0665 Å
α = 107.92°, β = 107.92°, γ = 107.92°
Fractional coordinates of all 5 atoms:
1 Sm 0.0000 0.0000 0.0000
2 Tl 0.4796 0.4796 0.4796
3 Hg 0.4125 0.8743 0.8743
4 Hg 0.8743 0.4125 0.8743
5 Hg 0.8743 0.8743 0.4125

Distance to the lowest polymorph of the same formula = 250.4 meV/atom
ΔE_f = 57 meV/atom
N(E_F) = 1.1204 states/eV per atom

12.
Density functional theory data (GGA-PBE) for a relaxed Sm6Tl5Hg crystal.

a = 5.4712 Å, b = 7.6563 Å, c = 8.6329 Å
α = 90.00°, β = 108.26°, γ = 90.00°
Fractional coordinates of all 12 atoms:
1 Sm 0.0000 0.2470 0.0000
2 Sm 0.0000 0.7530 0.0000
3 Sm 0.3346 0.2480 0.6690
4 Sm 0.3346 0.7520 0.6690
5 Sm 0.6654 0.2480 0.3310
6 Sm 0.6654 0.7520 0.3310
7 Tl 0.1647 0.0000 0.3296
8 Tl 0.1669 0.5000 0.3342
9 Tl 0.5000 0.5000 0.0000
10 Tl 0.8331 0.5000 0.6658
11 Tl 0.8353 0.0000 0.6704
12 Hg 0.5000 0.0000 0.0000

Distance to the lowest polymorph of the same formula = 0.0 meV/atom
ΔE_f = -396 meV/atom
N(E_F) = 1.0641 states/eV per atom

What did the first record say?
Density functional theory data (GGA-PBE) for a relaxed SmTh2Hg crystal.

a = 12.3988 Å, b = 12.3988 Å, c = 12.3988 Å
α = 15.86°, β = 15.86°, γ = 15.86°
Fractional coordinates of all 4 atoms:
1 Sm 0.0000 0.0000 0.0000
2 Th 0.0927 0.0927 0.0927
3 Th 0.9073 0.9073 0.9073
4 Hg 0.5000 0.5000 0.5000

Distance to the lowest polymorph of the same formula = 229.7 meV/atom
ΔE_f = 154 meV/atom
N(E_F) = 1.1820 states/eV per atom

Which value of N(E_F) does entry 10 give?
0.7973 states/eV per atom